VASP calculation (PBE) on a relaxed structure of Sr2DyMgAu6.

```
Sr2DyMgAu6
1.0
5.758 0.000 0.000
-1.169 5.670 0.000
-1.873 -1.899 7.587
Sr Dy Mg Au
2 1 1 6
direct
0.192 0.472 0.287 Sr
0.808 0.528 0.713 Sr
0.500 0.000 0.000 Dy
0.000 0.000 0.500 Mg
0.043 0.914 0.151 Au
0.335 0.454 0.825 Au
0.440 0.889 0.631 Au
0.560 0.111 0.369 Au
0.665 0.546 0.175 Au
0.957 0.086 0.849 Au
```

energy relative to the elements: -6.3 eV per formula unit